This record from the Alexandria database describes YScGa2 after structural relaxation. The functional is PBE.

```
YScGa2
1.0
4.219 0.000 -0.027
0.000 3.970 0.000
-2.073 0.000 5.316
Ga Sc Y
2 1 1
direct
0.002 0.000 0.543 Ga
0.159 0.500 0.856 Ga
0.447 0.500 0.432 Sc
0.723 0.000 0.986 Y
```

Calculated values
Its space-group type is Amm2, No. 38. The formation energy is -617.1 meV per atom. The total magnetization is 0.00 μB/f.u. Its crystal system is orthorhombic. The energy above the lowest structure with this stoichiometry is 0.0000 eV per atom. The calculation puts the electronic total energy at -5.33 eV/atom.